Entry from the Alexandria database: crystalline DyYFe2O6 at its relaxed geometry (PBE with a Hubbard U).

Cell and atoms, written as POSCAR:
```
DyYFe2O6
1.0
7.726 0.000 0.000
0.000 5.341 0.000
0.000 0.000 5.650
Dy Y Fe O
2 2 4 12
Direct
0.000 0.230 0.000 Dy
0.000 0.770 0.500 Dy
0.500 0.269 0.137 Y
0.500 0.731 0.637 Y
0.250 0.250 0.568 Fe
0.250 0.750 0.068 Fe
0.750 0.250 0.568 Fe
0.750 0.750 0.068 Fe
0.000 0.367 0.612 O
0.000 0.633 0.112 O
0.189 0.057 0.264 O
0.189 0.943 0.764 O
0.309 0.442 0.874 O
0.309 0.558 0.374 O
0.500 0.134 0.526 O
0.500 0.866 0.026 O
0.691 0.442 0.874 O
0.691 0.558 0.374 O
0.811 0.057 0.264 O
0.811 0.943 0.764 O
```

Output
The calculation puts the density of states at the Fermi level at 0.00 states/eV/f.u. The calculation puts the uncorrected energy at -154.90 eV/cell.